Record 1
A geometry-optimized TbNd2Er2 structure, computed with PBE.

Calculated values
The calculation puts the calculated total energy at -4.374 eV per atom. As for the space group: C2/c (15). The calculation puts the formation energy at 27.41 kJ per mole of atoms. For the total magnetization, the calculation gives 0.00 μB/f.u. As for the energy above the most stable polymorph in this dataset: 277.1 meV/atom.

Geometry as extended XYZ:
```
10
Lattice="-3.470 6.453 -5.275 -2.426 -6.863 -5.340 -1.655 -0.158 5.838" Properties=species:S:1:pos:R:3 pbc="T T T"
Tb -2.906 -6.057 -3.876
Tb -4.645 5.488 -0.900
Nd -4.938 0.664 -4.353
Nd -1.945 0.894 -3.333
Nd -5.605 -1.462 -1.444
Nd -2.612 -1.233 -0.424
Er -3.183 -2.516 -3.859
Er -3.679 3.807 -3.828
Er -3.871 -4.376 -0.949
Er -4.367 1.948 -0.918
```

Record 2
A geometry-optimized Dy3Er2TmP6 structure, computed with PBE.

Calculated values
The calculation puts the calculated total energy at -6.601 eV per atom. As for the space group: C2/m (12). The calculation puts the formation energy at -155.55 kJ per mole of atoms. For the total magnetization, the calculation gives 0.00 μB/f.u.

Geometry as extended XYZ:
```
12
Lattice="6.901 0.000 0.001 -3.449 5.977 0.001 -1.150 -1.992 6.506" Properties=species:S:1:pos:R:3 pbc="T T T"
Dy -2.297 3.984 3.254
Dy 4.599 0.001 3.254
Dy 1.151 1.992 3.254
Er 0.002 3.984 0.001
Er 3.450 1.993 0.001
Tm 0.000 0.000 0.000
P 3.449 1.996 4.900
P 2.304 3.989 1.611
P -1.147 1.988 1.608
P 0.006 3.985 4.900
P -0.002 -0.004 4.897
P 2.296 0.000 1.608
```

Record 3
A geometry-optimized Na5SiO4F2 structure, computed with PBE.

Calculated values
The calculation puts the calculated total energy at -5.158 eV per atom. As for the uncorrected formation energy: -2.192 eV/atom. As for the space group: Amm2 (38). For the total magnetization, the calculation gives 1.01 μB/f.u.

Geometry as extended XYZ:
```
12
Lattice="5.506 0.000 0.000 -2.753 4.552 0.000 0.000 0.000 6.636" Properties=species:S:1:pos:R:3 pbc="T T T"
Na -0.574 1.701 1.616
Na 2.241 0.000 3.318
Na -0.574 1.701 5.020
Na 2.180 2.851 5.020
Na 2.180 2.851 1.616
Si 2.301 0.000 0.000
O 3.298 0.000 1.312
O 3.298 0.000 5.324
O 1.297 1.314 0.000
O -1.456 3.238 0.000
F 3.657 2.771 3.318
F 0.904 1.781 3.318
```

Record 4
A geometry-optimized PuGa7Pd5 structure, computed with PBE.

Calculated values
The calculation puts the calculated total energy at -5.247 eV per atom. As for the space group: Imm2 (44). The calculation puts the formation energy at -49.93 kJ per mole of atoms. For the total magnetization, the calculation gives 5.73 μB/f.u.

Geometry as extended XYZ:
```
13
Lattice="0.561 -3.994 3.712 0.371 -6.313 -2.802 6.575 -1.149 1.816" Properties=species:S:1:pos:R:3 pbc="T T T"
Pu 0.565 -3.996 3.709
Ga 2.888 -5.258 2.000
Ga 4.748 -6.268 0.632
Ga 5.108 -6.933 3.909
Ga 3.108 -8.597 2.420
Ga 1.784 -2.813 0.750
Ga 1.717 -7.297 -0.017
Ga 5.606 -4.060 2.878
Pd 3.434 -2.661 2.678
Pd 3.155 -0.674 0.832
Pd 0.575 -5.041 0.549
Pd 0.296 -3.054 -1.297
Pd 5.676 -8.617 2.011
```